Model A:
# SrGe2Pb2

A geometry-optimized SrGe2Pb2 structure (PBE-GGA, Alexandria).

Cell and atoms, written as POSCAR:
```
SrGe2Pb2
1.0
-3.599 1.268 3.489
-2.797 -4.122 -1.387
-0.442 -4.647 5.064
Pb Sr Ge
2 1 2
Direct
0.368 0.368 0.265 Pb
0.632 0.632 0.735 Pb
0.000 0.000 0.000 Sr
0.750 0.250 0.500 Ge
0.250 0.750 0.500 Ge
```

Results
V, Å³/atom: 31.2
Density, g/cm3: 6.89
DOS at the Fermi energy, states/eV per cell: 1.2



Model B:
# SrGe2Pb2

A geometry-optimized SrGe2Pb2 structure (PBE-GGA, Alexandria).

Cell and atoms, written as POSCAR:
```
SrGe2Pb2
1.0
-5.293 -5.697 2.572
5.737 -5.766 -0.965
1.295 0.615 4.027
Pb Sr Ge
4 2 4
Direct
0.160 0.660 0.500 Pb
0.660 0.840 0.500 Pb
0.840 0.340 0.500 Pb
0.340 0.160 0.500 Pb
0.000 0.000 0.000 Sr
0.500 0.500 0.000 Sr
0.388 0.888 0.000 Ge
0.888 0.612 0.000 Ge
0.612 0.112 0.000 Ge
0.112 0.388 0.000 Ge
```

Results
V, Å³/atom: 28.7
Density, g/cm3: 7.50
DOS at the Fermi energy, states/eV per cell: 2.3



Stability summary: most stable model B, least stable model A.